(1)
The following is a DFT calculation (PBE-GGA) of crystalline Dy2Tm3In3 at its relaxed geometry. Values from VASP.

Geometry as Quantum ESPRESSO input:
```
&SYSTEM
  ibrav = 0, nat = 8, ntyp = 3
/
ATOMIC_SPECIES
Dy 162.50 Dy.upf
Tm 168.93 Tm.upf
In 114.82 In.upf
CELL_PARAMETERS angstrom
4.861 0.000 0.000
0.000 4.871 0.000
0.000 0.000 9.109
ATOMIC_POSITIONS crystal
Dy 0.000 0.000 0.240
Dy 0.000 0.000 0.760
Tm 0.500 0.000 0.500
Tm 0.500 0.500 0.236
Tm 0.500 0.500 0.764
In 0.000 0.500 0.000
In 0.000 0.500 0.500
In 0.500 0.000 0.000
```

***

(2)
! Sr5Al | Alexandria | PBE-GGA | optimized geometry; values from VASP
&SYSTEM
  ibrav = 0, nat = 6, ntyp = 2
/
ATOMIC_SPECIES
Sr 87.62 Sr.upf
Al 26.98 Al.upf
CELL_PARAMETERS angstrom
7.357 0.000 0.000
-3.678 6.371 0.000
0.000 0.000 6.913
ATOMIC_POSITIONS crystal
Sr 0.000 0.500 0.000
Sr 0.333 0.667 0.500
Sr 0.500 0.000 0.000
Sr 0.500 0.500 0.000
Sr 0.667 0.333 0.500
Al 0.000 0.000 0.500
! Relative energy among the computed polymorphs   537 meV per atom

***

(3)
The following is a DFT calculation (PBE-GGA) of crystalline Sc2TiNi9 at its relaxed geometry. Values from VASP.

Geometry as Quantum ESPRESSO input:
```
&SYSTEM
  ibrav = 0, nat = 12, ntyp = 3
/
ATOMIC_SPECIES
Sc 44.96 Sc.upf
Ti 47.87 Ti.upf
Ni 58.69 Ni.upf
CELL_PARAMETERS angstrom
3.675 0.000 0.000
0.000 3.675 0.000
0.000 0.000 11.025
ATOMIC_POSITIONS crystal
Sc 0.000 0.000 0.169
Sc 0.000 0.000 0.831
Ti 0.000 0.000 0.500
Ni 0.000 0.500 0.000
Ni 0.000 0.500 0.342
Ni 0.000 0.500 0.658
Ni 0.500 0.000 0.000
Ni 0.500 0.000 0.342
Ni 0.500 0.000 0.658
Ni 0.500 0.500 0.171
Ni 0.500 0.500 0.500
Ni 0.500 0.500 0.829
```

***

| no. | E_form (eV per formula unit) | M_tot (μB per cell) |
| --- | --- | --- |
| 1 | -2.7 | 1.09 |
| 2 | 3.1 | 0.00 |
| 3 | -5.2 | 1.03 |